DFT (GGA-PBE) results for a relaxed structure of Sr2CrSi.

The raw formation energy is 0.39 eV/atom. For the spin magnetization, the calculation gives 8.79 μB/cell. The density of states at the Fermi level comes out at 2.9 states/eV/f.u. For the density, the calculation gives 3.95 Mg/m³.

Cell: 4.8483 4.8483 9.1317 Å, 90.00 90.00 90.00°
Space group I-4m2 (No. 119)
One atom of each set of equivalent atoms:
Sr: 0.0000 0.0000 0.0000 x2
Sr: 0.0000 0.5000 0.2500 x2
Cr: 0.0000 0.5000 0.7500 x2
Si: 0.0000 0.0000 0.5000 x2

DFT (GGA-PBE) results for a relaxed structure of Nb2V4Ga.

For the spin magnetization, the calculation gives 0.47 μB/cell. The energy is -7.48 eV/atom. The density of states at the Fermi level comes out at 10.3 states/eV/f.u. For the density, the calculation gives 6.04 Mg/m³.

Cell: 4.4617 4.4617 12.6796 Å, 90.00 90.00 90.00°
Space group I4/mmm (No. 139)
One atom of each set of equivalent atoms:
Nb: 0.0000 0.0000 0.1220 x4
V: 0.0000 0.0000 0.3099 x4
V: 0.0000 0.5000 0.0000 x4
Ga: 0.0000 0.0000 0.5000 x2

DFT (GGA-PBE) results for a relaxed structure of NbHgIr3.

For the spin magnetization, the calculation gives 0.00 μB/cell. As for the energy above the most stable polymorph in this dataset: 86.71 kJ/mol of atoms. The density of states at the Fermi level comes out at 5.2 states/eV/f.u. For the density, the calculation gives 12.92 Mg/m³.

Cell: 4.8179 4.8179 4.8179 Å, 90.00 90.00 90.00°
Space group Pm-3m (No. 221)
One atom of each set of equivalent atoms:
Nb: 0.0000 0.0000 0.0000 x1
Hg: 0.5000 0.5000 0.5000 x1
Ir: 0.0000 0.5000 0.5000 x3